Entry 1:
VASP calculation (GGA-PBE) on a geometry-optimized YBeAsSe2 structure.

## Properties
The value obtained for the density of states at the Fermi level is 6.23 states/eV/cell. The value obtained for the final energy is -3.882 eV per atom. For the magnetization, the calculation gives 0.77 μB per cell.

Unit cell a=5.404 b=5.404 c=5.576 alpha=90.00 beta=90.00 gamma=90.00
Element x y z (fractional)
Y: 0.000 0.000 0.000
Be: 0.500 0.500 0.500
As: 0.000 0.000 0.500
Se: 0.000 0.500 0.000
Se: 0.500 0.000 0.000

=====

Entry 2:
VASP calculation (GGA-PBE) on a geometry-optimized Sc2CdHRu structure.

## Properties
The value obtained for the density of states at the Fermi level is 1.83 states/eV/cell. The value obtained for the final energy is -5.653 eV per atom. For the magnetization, the calculation gives 0.00 μB per cell.

Unit cell a=4.649 b=4.649 c=3.630 alpha=90.00 beta=90.00 gamma=90.00
Element x y z (fractional)
Sc: 0.000 0.500 0.000
Sc: 0.500 0.000 0.000
Ru: 0.000 0.000 0.500
H: 0.000 0.000 0.000
Cd: 0.500 0.500 0.500

=====

Entry 3:
VASP calculation (GGA-PBE) on a geometry-optimized KTlCuS2 structure.

## Properties
The value obtained for the density of states at the Fermi level is 6.46 states/eV/cell. The value obtained for the final energy is -3.642 eV per atom. For the magnetization, the calculation gives 0.00 μB per cell.

Unit cell a=4.936 b=7.271 c=7.698 alpha=93.91 beta=90.00 gamma=90.00
Element x y z (fractional)
K: 0.243 0.500 0.750
K: 0.757 0.500 0.250
Tl: 0.575 0.000 0.250
Tl: 0.425 0.000 0.750
Cu: 0.000 0.000 0.000
Cu: 0.000 0.000 0.500
S: 0.756 0.764 0.916
S: 0.756 0.236 0.584
S: 0.244 0.764 0.416
S: 0.244 0.236 0.084

=====

Question: Which value of final energy does entry 1 give?
Answer: -3.882 eV per atom

=====

Question: What is the formula in the third record?
Answer: KTlCuS2